# MgZn2Se2

A relaxed structure of MgZn2Se2 (PBE, Alexandria via LeMat-Bulk).

Cell lengths 7.3098, 8.6824, 8.2215 Å; angles 90.00, 90.00, 90.00 degrees
Space group Cmcm (No. 63)
Symmetry-distinct sites (fractional):
Mg 0.0000 0.0518 0.2500
Zn 0.0000 0.3466 0.1024
Se 0.2349 0.0000 0.0000

Values from the calculation:
Formation energy (no corrections) (meV/atom): -471.5
Total magnetization (μB/f.u.): 0.00
Theoretical density (kg/m3): 3985
Calculated volume (Å³ per atom): 26.09